(1)
Material: LiTmPd2
Method: DFT, PBE
State: relaxed

a = 3.3933 Å, b = 3.3933 Å, c = 6.0256 Å
α = 90.00°, β = 90.00°, γ = 90.00°
Space group P4/mmm (No. 123)
Inequivalent atoms, fractional coordinates:
1 Li 0.0000 0.0000 0.0000
2 Tm 0.0000 0.0000 0.5000
3 Pd 0.5000 0.5000 0.2337

***

(2)
Material: Li2UPd8
Method: DFT, PBE
State: relaxed

a = 13.9576 Å, b = 4.1788 Å, c = 6.2322 Å
α = 90.00°, β = 107.70°, γ = 90.00°
Space group C2/m (No. 12)
Inequivalent atoms, fractional coordinates:
1 Li 0.2242 0.0000 0.1465
2 U 0.0000 0.5000 0.5000
3 Pd 0.0462 0.0000 0.2309
4 Pd 0.0936 0.5000 0.9560
5 Pd 0.1430 0.0000 0.6988
6 Pd 0.1811 0.5000 0.4273

***

no.,E (eV/cell),M_tot (μB/f.u.)
1,-19.79,0.00
2,-122.59,0.01